# 1
A relaxed structure of HoLuAlOs, computed with PBE.

Cell lengths 4.875, 4.875, 4.875 Å; angles 60.00, 60.00, 60.00 degrees
Fractional positions:
Lu 0.250 0.250 0.250
Al 0.000 0.000 0.000
Os 0.500 0.500 0.500
Ho 0.750 0.750 0.750

Calculated values
- Formation enthalpy at 0 K: -0.33 eV/atom
- DOS at the Fermi energy: 2.162 states/eV per cell

=====

# 2
A relaxed structure of SnBiPb, computed with PBE.

Cell lengths 3.469, 3.469, 8.784 Å; angles 90.00, 90.00, 120.00 degrees
Fractional positions:
Bi 0.333 0.667 0.673
Pb 0.667 0.333 0.325
Sn 0.000 0.000 0.002

Calculated values
- Formation enthalpy at 0 K: 0.08 eV/atom
- DOS at the Fermi energy: 1.621 states/eV per cell

=====

# 3
A relaxed structure of LiLuVIr, computed with PBE.

Cell lengths 4.557, 4.557, 4.557 Å; angles 60.00, 60.00, 60.00 degrees
Site moments in Bohr magnetons follow the coordinates.
Fractional positions:
Lu 0.750 0.750 0.750  -0.01
Ir 0.500 0.500 0.500  -0.17
V 0.250 0.250 0.250  1.61
Li 0.000 0.000 0.000  0.00

Calculated values
- Formation enthalpy at 0 K: -0.24 eV/atom
- DOS at the Fermi energy: 3.080 states/eV per cell

=====

# 4
A relaxed structure of PaCdRh4, computed with PBE.

Cell lengths 3.777, 5.021, 6.571 Å; angles 104.23, 73.30, 67.90 degrees
Fractional positions:
Rh 0.835 0.501 0.828
Rh 0.165 0.499 0.172
Rh 0.667 0.997 0.668
Pa 0.500 0.500 0.500
Rh 0.333 0.003 0.332
Cd 0.000 0.000 0.000

Calculated values
- Formation enthalpy at 0 K: -0.43 eV/atom
- DOS at the Fermi energy: 6.955 states/eV per cell

=====

Q: Which formula does entry 4 have?
A: PaCdRh4

=====

Please write out number 4 again, unchanged.
A relaxed structure of PaCdRh4, computed with PBE.

Cell lengths 3.777, 5.021, 6.571 Å; angles 104.23, 73.30, 67.90 degrees
Fractional positions:
Rh 0.835 0.501 0.828
Rh 0.165 0.499 0.172
Rh 0.667 0.997 0.668
Pa 0.500 0.500 0.500
Rh 0.333 0.003 0.332
Cd 0.000 0.000 0.000

Calculated values
- Formation enthalpy at 0 K: -0.43 eV/atom
- DOS at the Fermi energy: 6.955 states/eV per cell

=====

Q: What is the formula in the third record?
A: LiLuVIr